[1]
NaSe2IBr | PBE | relaxed

a b c (Å): 5.446 5.446 5.931
angles (deg): 90.00 90.00 90.00
Fractional coordinates of all 5 atoms:
Na  0.500  0.500  0.500
I  0.000  0.000  0.000
Br  0.000  0.000  0.500
Se  0.500  0.000  0.000
Se  0.000  0.500  0.000

Results
Space-group type = No. 123
Uncorrected energy = -11.34 eV for the cell shown
Energy relative to the elements, uncorrected = 33 meV/atom
Energy above the lowest structure with this stoichiometry = 0 meV/atom

[2]
Na2SnI2Br2 | PBE | relaxed

a b c (Å): 4.594 8.520 9.087
angles (deg): 57.65 59.84 74.44
Fractional coordinates of all 7 atoms:
I  0.658  0.734  0.974
Na  0.049  0.568  0.671
Br  0.295  0.257  0.574
Na  0.951  0.432  0.329
Br  0.705  0.743  0.426
Sn  0.000  0.000  0.000
I  0.342  0.266  0.026

Results
Space-group type = No. 2
Uncorrected energy = -20.53 eV for the cell shown
Energy relative to the elements, uncorrected = -1063 meV/atom

[3]
NaSn2IBr4 | PBE | relaxed

a b c (Å): 4.181 7.505 9.498
angles (deg): 73.33 77.28 73.83
Fractional coordinates of all 8 atoms:
Br  0.375  0.311  0.939
Sn  0.816  0.621  0.748
Br  0.625  0.689  0.061
I  0.500  0.500  0.500
Na  0.000  0.000  0.000
Br  0.190  0.914  0.705
Sn  0.184  0.379  0.252
Br  0.810  0.086  0.295

Results
Space-group type = No. 12
Uncorrected energy = -24.65 eV for the cell shown
Energy relative to the elements, uncorrected = -886 meV/atom

[4]
NaSnI2Br | PBE | relaxed

a b c (Å): 4.544 7.789 10.994
angles (deg): 90.00 90.00 106.96
Fractional coordinates of all 10 atoms:
I  0.644  0.288  0.561
Sn  0.000  0.000  0.000
I  0.644  0.288  0.939
Na  0.717  0.433  0.250
I  0.356  0.712  0.439
Br  0.087  0.175  0.250
Na  0.283  0.567  0.750
Br  0.913  0.825  0.750
I  0.356  0.712  0.061
Sn  0.000  0.000  0.500

Results
Space-group type = No. 63
Uncorrected energy = -28.84 eV for the cell shown
Energy relative to the elements, uncorrected = -865 meV/atom

no.,Fermi-level density of states (states/eV/f.u.)
1,3.53
2,0.00
3,0.00
4,0.00